Computed, not measured: a relaxed structure of CaCd2Au2 at the PBEsol level of DFT.

a b c (Å): 3.630 7.625 7.625
angles (deg): 90.00 90.00 90.00
Atoms (fractional coordinates):
1 Au 0.000 0.632 0.132
2 Au 0.000 0.368 0.868
3 Cd 0.500 0.164 0.664
4 Au 0.000 0.868 0.632
5 Cd 0.500 0.664 0.836
6 Cd 0.500 0.336 0.164
7 Cd 0.500 0.836 0.336
8 Au 0.000 0.132 0.368
9 Ca 0.000 0.500 0.500
10 Ca 0.000 0.000 0.000

Values from the calculation:
Crystal system: tetragonal
Space-group type: No. 127
Energy above the most stable polymorph in this dataset, eV/f.u.: 0.476